# 1
Compound: LiTbCeAg
Source: Alexandria
Functional: PBE
Structure: relaxed

a = 5.2352 Å, b = 5.2352 Å, c = 5.2352 Å
α = 60.00°, β = 60.00°, γ = 60.00°
Site moments in Bohr magnetons follow the coordinates.
Positions (direct):
Tb: 0.0000 0.0000 0.0000  0.13
Li: 0.2500 0.2500 0.2500  0.01
Ag: 0.7500 0.7500 0.7500  0.02
Ce: 0.5000 0.5000 0.5000  0.89

Results
Total energy in eV per atom: -3.790
Crystal system: cubic
Formation energy from the elements in eV/atom: 0.042


# 2
Compound: Li2CeTl2Ag2
Source: Alexandria
Functional: PBE
Structure: relaxed

a = 4.1656 Å, b = 5.1503 Å, c = 7.9173 Å
α = 94.54°, β = 90.00°, γ = 113.85°
Site moments in Bohr magnetons follow the coordinates.
Positions (direct):
Tl: 0.7206 0.4412 0.2096  0.01
Tl: 0.2794 0.5588 0.7904  0.01
Ag: 0.4297 0.8594 0.3281  0.00
Ag: 0.5703 0.1406 0.6719  0.00
Li: 0.8666 0.7332 0.5576  0.00
Li: 0.1334 0.2668 0.4424  0.00
Ce: 0.0000 0.0000 0.0000  0.82

Results
Total energy in eV per atom: -3.044
Crystal system: monoclinic
Formation energy from the elements in eV/atom: -0.159


# 3
Compound: LiCeTlAg
Source: Alexandria
Functional: PBE
Structure: relaxed

a = 5.1358 Å, b = 5.1358 Å, c = 5.1358 Å
α = 60.00°, β = 60.00°, γ = 60.00°
Site moments in Bohr magnetons follow the coordinates.
Positions (direct):
Ag: 0.2500 0.2500 0.2500  0.00
Li: 0.5000 0.5000 0.5000  0.00
Tl: 0.7500 0.7500 0.7500  0.01
Ce: 0.0000 0.0000 0.0000  0.71

Results
Total energy in eV per atom: -3.436
Crystal system: cubic
Excess energy over the best structure of this formula in the dataset in meV per atom: 2
Formation energy from the elements in eV/atom: -0.170


# 4
Compound: LiCeTlAg
Source: Alexandria
Functional: PBE
Structure: relaxed

a = 5.0220 Å, b = 5.0225 Å, c = 5.0218 Å
α = 120.00°, β = 120.00°, γ = 90.00°
Site moments in Bohr magnetons follow the coordinates.
Positions (direct):
Ce: 0.7500 0.2500 0.5000  0.85
Tl: 0.2500 0.7500 0.5000  -0.01
Li: 0.0000 0.0000 0.0000  0.01
Ag: 0.5000 0.5000 0.0000  0.00

Results
Total energy in eV per atom: -3.439
Crystal system: cubic
Excess energy over the best structure of this formula in the dataset in meV per atom: 0
Formation energy from the elements in eV/atom: -0.172


# 5
Compound: LiCeTmAg
Source: Alexandria
Functional: PBE
Structure: relaxed

a = 5.1954 Å, b = 5.1954 Å, c = 5.1954 Å
α = 60.00°, β = 60.00°, γ = 60.00°
Site moments in Bohr magnetons follow the coordinates.
Positions (direct):
Ag: 0.2500 0.2500 0.2500  0.02
Li: 0.7500 0.7500 0.7500  0.01
Tm: 0.0000 0.0000 0.0000  0.07
Ce: 0.5000 0.5000 0.5000  0.84

Results
Total energy in eV per atom: -3.761
Crystal system: cubic
Formation energy from the elements in eV/atom: 0.032


# 6
Compound: LiCeZnAg
Source: Alexandria
Functional: PBE
Structure: relaxed

a = 4.9612 Å, b = 4.9612 Å, c = 4.9612 Å
α = 60.00°, β = 60.00°, γ = 60.00°
Site moments in Bohr magnetons follow the coordinates.
Positions (direct):
Li: 0.5000 0.5000 0.5000  0.01
Ag: 0.7500 0.7500 0.7500  0.01
Zn: 0.2500 0.2500 0.2500  0.01
Ce: 0.0000 0.0000 0.0000  0.78

Results
Total energy in eV per atom: -3.093
Crystal system: cubic
Formation energy from the elements in eV/atom: -0.100


# 7
Compound: CeLuAg2
Source: Alexandria
Functional: PBE
Structure: relaxed

a = 3.5236 Å, b = 5.2465 Å, c = 5.2465 Å
α = 90.00°, β = 90.00°, γ = 90.00°
Site moments in Bohr magnetons follow the coordinates.
Positions (direct):
Ag: 0.0000 0.0000 0.5000  0.01
Ag: 0.0000 0.5000 0.0000  0.01
Lu: 0.5000 0.5000 0.5000  -0.02
Ce: 0.5000 0.0000 0.0000  0.89

Results
Total energy in eV per atom: -4.212
Crystal system: tetragonal
Excess energy over the best structure of this formula in the dataset in meV per atom: 33
Formation energy from the elements in eV/atom: -0.173


# 8
Compound: CeLuAg
Source: Alexandria
Functional: PBE
Structure: relaxed

a = 3.4572 Å, b = 3.4572 Å, c = 7.0117 Å
α = 104.27°, β = 104.27°, γ = 90.00°
Site moments in Bohr magnetons follow the coordinates.
Positions (direct):
Ce: 0.0088 0.0088 0.0175  0.86
Ag: 0.6775 0.6775 0.3549  0.00
Lu: 0.3138 0.3138 0.6276  0.15

Results
Total energy in eV per atom: -4.521
Crystal system: tetragonal
Excess energy over the best structure of this formula in the dataset in meV per atom: 0
Formation energy from the elements in eV/atom: -0.086


# 9
Compound: CeLuAg
Source: Alexandria
Functional: PBE
Structure: relaxed

a = 3.5606 Å, b = 5.0713 Å, c = 5.0713 Å
α = 120.00°, β = 90.00°, γ = 90.00°
Site moments in Bohr magnetons follow the coordinates.
Positions (direct):
Lu: 0.1211 0.0000 0.0000  -0.14
Ag: 0.2265 0.3333 0.6667  -0.02
Ce: 0.6524 0.6667 0.3333  -0.84

Results
Total energy in eV per atom: -4.373
Crystal system: trigonal
Excess energy over the best structure of this formula in the dataset in meV per atom: 148
Formation energy from the elements in eV/atom: 0.062


# 10
Compound: CeLuAg2
Source: Alexandria
Functional: PBE
Structure: relaxed

a = 3.5435 Å, b = 3.5435 Å, c = 7.6660 Å
α = 90.00°, β = 90.00°, γ = 90.00°
Site moments in Bohr magnetons follow the coordinates.
Positions (direct):
Lu: 0.5000 0.5000 0.0000  -0.02
Ag: 0.0000 0.0000 0.2223  0.00
Ag: 0.0000 0.0000 0.7777  0.00
Ce: 0.5000 0.5000 0.5000  0.97

Results
Total energy in eV per atom: -4.245
Crystal system: tetragonal
Excess energy over the best structure of this formula in the dataset in meV per atom: 0
Formation energy from the elements in eV/atom: -0.206


# 11
Compound: CeLuAg2
Source: Alexandria
Functional: PBE
Structure: relaxed

a = 5.1695 Å, b = 5.1695 Å, c = 5.1695 Å
α = 60.00°, β = 60.00°, γ = 60.00°
Site moments in Bohr magnetons follow the coordinates.
Positions (direct):
Lu: 0.5000 0.5000 0.5000  0.04
Ce: 0.0000 0.0000 0.0000  0.77
Ag: 0.2500 0.2500 0.2500  0.01
Ag: 0.7500 0.7500 0.7500  0.01

Results
Total energy in eV per atom: -4.215
Crystal system: cubic
Excess energy over the best structure of this formula in the dataset in meV per atom: 30
Formation energy from the elements in eV/atom: -0.176


# 12
Compound: CeLu2Ag
Source: Alexandria
Functional: PBE
Structure: relaxed

a = 3.5238 Å, b = 3.5238 Å, c = 8.4547 Å
α = 90.00°, β = 90.00°, γ = 90.00°
Site moments in Bohr magnetons follow the coordinates.
Positions (direct):
Ce: 0.5000 0.5000 0.5000  0.72
Lu: 0.0000 0.0000 0.7877  0.10
Lu: 0.0000 0.0000 0.2123  0.10
Ag: 0.5000 0.5000 0.0000  0.01

Results
Total energy in eV per atom: -4.557
Crystal system: tetragonal
Excess energy over the best structure of this formula in the dataset in meV per atom: 0
Formation energy from the elements in eV/atom: -0.100


# 13
Compound: CeLu2Ag
Source: Alexandria
Functional: PBE
Structure: relaxed

a = 4.6763 Å, b = 4.7532 Å, c = 4.7532 Å
α = 90.00°, β = 90.00°, γ = 90.00°
Site moments in Bohr magnetons follow the coordinates.
Positions (direct):
Lu: 0.0000 0.0000 0.5000  -0.23
Lu: 0.0000 0.5000 0.0000  -0.23
Ag: 0.5000 0.0000 0.0000  -0.02
Ce: 0.5000 0.5000 0.5000  -0.86

Results
Total energy in eV per atom: -4.387
Crystal system: tetragonal
Excess energy over the best structure of this formula in the dataset in meV per atom: 170
Formation energy from the elements in eV/atom: 0.070